1.
PrTm9Sc2: relaxed, PBE-GGA.

Unit cell a=10.943 b=10.943 c=3.447 alpha=90.00 beta=90.00 gamma=120.00
Positions (direct):
Pr  0.000  0.000  0.000
Tm  0.000  0.500  0.000
Tm  0.181  0.363  0.500
Tm  0.181  0.819  0.500
Tm  0.363  0.181  0.500
Tm  0.500  0.000  0.000
Tm  0.500  0.500  0.000
Tm  0.637  0.819  0.500
Tm  0.819  0.181  0.500
Tm  0.819  0.637  0.500
Sc  0.333  0.667  0.000
Sc  0.667  0.333  0.000

Values from the calculation:
**Calculated volume**: 29.79 A^3/atom
**Offset from the most stable computed form**: 0.00 eV per formula unit
**Space group**: P6/mmm
**Total magnetization**: 0.00 Bohr magnetons per cell

=====

2.
PrTm2Sc6: relaxed, PBE-GGA.

Unit cell a=7.794 b=7.794 c=9.686 alpha=90.00 beta=90.00 gamma=90.00
Positions (direct):
Pr  0.000  0.000  0.000
Pr  0.500  0.500  0.500
Tm  0.000  0.000  0.333
Tm  0.000  0.000  0.667
Tm  0.500  0.500  0.167
Tm  0.500  0.500  0.833
Sc  0.237  0.237  0.500
Sc  0.240  0.240  0.164
Sc  0.240  0.240  0.836
Sc  0.260  0.740  0.336
Sc  0.260  0.740  0.664
Sc  0.263  0.737  0.000
Sc  0.737  0.263  0.000
Sc  0.740  0.260  0.336
Sc  0.740  0.260  0.664
Sc  0.760  0.760  0.164
Sc  0.760  0.760  0.836
Sc  0.763  0.763  0.500

Values from the calculation:
**Calculated volume**: 32.69 A^3/atom
**E**: -0.180 Ha/atom
**Space group**: P4_2/mnm
**Total magnetization**: 0.01 Bohr magnetons per cell